1.
KBe3Br at its PBEsol-relaxed geometry. Source: Alexandria, functional SCAN.

abc: 4.9132 4.9132 4.9132
angles: 90.00 90.00 90.00
Positions (direct):
1 K 0.0000 0.0000 0.0000
2 Be 0.0000 0.5000 0.5000
3 Be 0.5000 0.0000 0.5000
4 Be 0.5000 0.5000 0.0000
5 Br 0.5000 0.5000 0.5000

Its crystal system is cubic. The value obtained for the density of states at the Fermi level is 2.44 states/eV/cell. Its symmetry is No. 221. The formation energy (no corrections) comes out at 1491 meV per atom.


2.
Na2NbFeSn at its PBEsol-relaxed geometry. Source: Alexandria, functional SCAN.

abc: 5.3878 5.3878 4.8133
angles: 90.00 90.00 90.00
Positions (direct):
1 Na 0.0000 0.5000 0.0000
2 Na 0.5000 0.0000 0.0000
3 Nb 0.0000 0.0000 0.5000
4 Fe 0.5000 0.5000 0.5000
5 Sn 0.5000 0.5000 0.0000

Its crystal system is tetragonal. The value obtained for the density of states at the Fermi level is 1.43 states/eV/cell. Its symmetry is No. 123. For the total DFT energy (no corrections), the calculation gives -17.899 eV per atom.


3.
Li2SiPb at its PBEsol-relaxed geometry. Source: Alexandria, functional SCAN.

abc: 4.7576 4.7576 5.4981
angles: 99.76 99.76 37.99
Positions (direct):
1 Li 0.2391 0.2391 0.2075
2 Li 0.7609 0.7609 0.7925
3 Si 0.5000 0.5000 0.0000
4 Pb 0.0000 0.0000 0.5000

Its crystal system is monoclinic. The value obtained for the density of states at the Fermi level is 1.60 states/eV/cell. Its symmetry is No. 12. The formation energy (no corrections) comes out at -23 meV per atom. The distance to the lowest polymorph of the same formula comes out at 8.2 kJ/mol of atoms.


4.
KSb3P at its PBEsol-relaxed geometry. Source: Alexandria, functional SCAN.

abc: 5.5791 5.5791 5.5791
angles: 90.00 90.00 90.00
Positions (direct):
1 K 0.0000 0.0000 0.0000
2 Sb 0.0000 0.0000 0.5000
3 Sb 0.0000 0.5000 0.0000
4 Sb 0.5000 0.0000 0.0000
5 P 0.5000 0.5000 0.5000

Its crystal system is cubic. The value obtained for the density of states at the Fermi level is 8.44 states/eV/cell. Its symmetry is No. 221. The formation energy (no corrections) comes out at 1913 meV per atom.


Please write out number 3 again, unchanged.
Li2SiPb at its PBEsol-relaxed geometry. Source: Alexandria, functional SCAN.

abc: 4.7576 4.7576 5.4981
angles: 99.76 99.76 37.99
Positions (direct):
1 Li 0.2391 0.2391 0.2075
2 Li 0.7609 0.7609 0.7925
3 Si 0.5000 0.5000 0.0000
4 Pb 0.0000 0.0000 0.5000

Its crystal system is monoclinic. The value obtained for the density of states at the Fermi level is 1.60 states/eV/cell. Its symmetry is No. 12. The formation energy (no corrections) comes out at -23 meV per atom. The distance to the lowest polymorph of the same formula comes out at 8.2 kJ/mol of atoms.